! NaTaPbS4 PBE optimized geometry; values from VASP
! **Uncorrected formation energy**: -0.855 eV per atom
&SYSTEM
  ibrav = 0, nat = 14, ntyp = 4
/
ATOMIC_SPECIES
Na 22.99 Na.upf
Ta 180.95 Ta.upf
Pb 207.20 Pb.upf
S 32.06 S.upf
CELL_PARAMETERS angstrom
6.9212 0.0000 0.0000
0.0000 7.0030 0.0000
-2.6365 0.0000 7.7448
ATOMIC_POSITIONS crystal
Na 0.2142 0.2500 0.0463
Na 0.7858 0.7500 0.9537
Ta 0.2497 0.7500 0.8122
Ta 0.7503 0.2500 0.1878
Pb 0.2308 0.2500 0.5594
Pb 0.7692 0.7500 0.4406
S 0.0214 0.0022 0.7406
S 0.0214 0.4978 0.7406
S 0.4256 0.7500 0.0966
S 0.4447 0.7500 0.6371
S 0.5553 0.2500 0.3629
S 0.5744 0.2500 0.9034
S 0.9786 0.5022 0.2594
S 0.9786 0.9978 0.2594